# Ba8Tl3HgI4

A relaxed structure of Ba8Tl3HgI4 (PBE-GGA, Alexandria via LeMat-Bulk).

Cell: 9.595 10.841 9.597 Å, 116.32 119.99 90.00°
Site moments in Bohr magnetons follow the coordinates.
Element x y z (fractional)
Ba 0.755 0.267 0.011  0.03
Ba 0.755 0.267 0.511  0.03
Ba 0.245 0.733 0.489  0.03
Ba 0.245 0.733 0.989  0.03
Ba 0.256 0.267 0.011  0.03
Ba 0.744 0.733 0.989  0.03
Ba 0.254 0.262 0.508  0.01
Ba 0.746 0.738 0.492  0.01
Tl 0.500 0.500 0.500  0.01
Tl 0.000 0.500 0.500  0.01
Tl 0.500 0.500 0.000  0.01
I 0.000 0.000 0.000  0.00
I 0.500 0.000 0.500  0.00
I 0.500 0.000 0.000  0.00
I 0.000 0.000 0.500  0.00
Hg 0.000 0.500 0.000  0.07

- energy (Ry per atom) = -0.19676
- formation energy (no corrections) (eV/atom) = -0.866
- crystal system = monoclinic
- symmetry = C2/m
- calculated volume (Å³ per cell) = 743